SrSi3I after structural relaxation, computed with PBE-GGA.

Lattice parameters (Å, degrees): 5.8417 5.8417 5.8417 90.00 90.00 90.00
Closest atoms and distances in Å follow each position.
Element x y z (fractional)
Si (0.0000, 0.5000, 0.0000)  2 Sr 2.92
Si (0.0000, 0.0000, 0.5000)  2 Sr 2.92
Si (0.5000, 0.0000, 0.0000)  2 Sr 2.92
Sr (0.0000, 0.0000, 0.0000)  6 Si 2.92
I (0.5000, 0.5000, 0.5000)  12 Si 4.13

Summary:
**Symmetry**: Pm-3m, No. 221
**Magnetic moment**: 3.4 μB per formula unit
**E above lowest polymorph**: 635 meV/atom
**Crystal system**: cubic
**Energy**: -2.305 eV/atom